No. 1
Material: LiMn2Co
Method: DFT, PBE
State: optimized geometry

Calculated total energy   -6.6060 eV/atom
ΔE_f   0.234 eV per atom
Excess energy over the best structure of this formula in the dataset   54.6 meV per atom

Cell: 8.3902 2.5638 4.4442 Å, 90.00 101.03 90.00°
Closest atoms and distances in Å follow each position.
Space group Cm (No. 8)
Symmetry-distinct sites (fractional):
1 Li 0.0000 0.0000 0.0000 (multiplicity 2)  3 Co 2.45-2.51, 7 Mn 2.53-2.66, 2 Li 2.56
2 Mn 0.2350 0.0000 0.7167 (multiplicity 2)  5 Mn 2.50-2.56, 3 Li 2.53-2.66, 4 Co 2.55-2.59
3 Mn 0.4852 0.0000 0.4891 (multiplicity 2)  2 Co 2.45, 5 Mn 2.50-2.56, 4 Li 2.55-2.59
4 Co 0.2529 0.5000 0.2171 (multiplicity 2)  3 Li 2.45-2.51, 6 Mn 2.45-2.59, 2 Co 2.56


No. 2
Material: Y2CdIn
Method: DFT, PBE
State: optimized geometry

Calculated total energy   -3.8583 eV/atom
ΔE_f   0.287 eV per atom

Cell: 3.3438 5.8171 12.7677 Å, 90.00 90.00 90.00°
Closest atoms and distances in Å follow each position.
Space group Immm (No. 71)
Symmetry-distinct sites (fractional):
1 Y 0.0000 0.0000 0.2490 (multiplicity 4)  1 Cd 3.18, 1 In 3.20, 6 Y 3.34-3.35
2 Cd 0.0000 0.0000 0.0000 (multiplicity 2)  2 Y 3.18, 2 Cd 3.34, 4 In 3.35
3 In 0.0000 0.0000 0.5000 (multiplicity 2)  2 Y 3.20, 2 In 3.34, 4 Cd 3.35


No. 3
Material: SbPbAu
Method: DFT, PBE
State: optimized geometry

Calculated total energy   -3.7624 eV/atom
Energy relative to the elements, uncorrected   -6 kJ per mole of atoms
Excess energy over the best structure of this formula in the dataset   27.4 meV per atom

Cell: 6.9573 6.9573 6.9573 Å, 90.00 90.00 90.00°
Closest atoms and distances in Å follow each position.
Space group F-43m (No. 216)
Symmetry-distinct sites (fractional):
1 Sb 0.0000 0.0000 0.0000 (multiplicity 4)  4 Au 3.01
2 Pb 0.0000 0.0000 0.5000 (multiplicity 4)  4 Au 3.01
3 Au 0.2500 0.2500 0.2500 (multiplicity 4)  4 Pb 3.01, 4 Sb 3.01


No. 4
Material: Sc2HRuPb
Method: DFT, PBE
State: optimized geometry

Calculated total energy   -6.2011 eV/atom

Cell: 4.6433 4.6433 3.7814 Å, 90.00 90.00 90.00°
Closest atoms and distances in Å follow each position.
Space group P4/mmm (No. 123)
Symmetry-distinct sites (fractional):
1 Sc 0.0000 0.5000 0.0000 (multiplicity 2)  2 H 2.32
2 H 0.0000 0.0000 0.0000 (multiplicity 1)  2 Ru 1.89
3 Ru 0.0000 0.0000 0.5000 (multiplicity 1)  2 H 1.89
4 Pb 0.5000 0.5000 0.5000 (multiplicity 1)  8 Sc 2.99, 4 Ru 3.28


No. 5
Material: Zn2CdRe
Method: DFT, PBE
State: optimized geometry

Calculated total energy   -3.6288 eV/atom
ΔE_f   0.349 eV per atom

Cell: 4.1868 4.1868 3.5564 Å, 90.00 90.00 90.00°
Closest atoms and distances in Å follow each position.
Space group P4/mmm (No. 123)
Symmetry-distinct sites (fractional):
1 Zn 0.0000 0.5000 0.0000 (multiplicity 2)  4 Cd 2.75, 4 Re 2.75, 4 Zn 2.96
2 Cd 0.0000 0.0000 0.5000 (multiplicity 1)  8 Zn 2.75, 4 Re 2.96
3 Re 0.5000 0.5000 0.5000 (multiplicity 1)  8 Zn 2.75, 4 Cd 2.96


No. 6
Material: TbEr6Al
Method: DFT, PBE
State: optimized geometry

Calculated total energy   -4.4241 eV/atom
ΔE_f   0.045 eV per atom

Cell: 9.0911 9.0911 9.9163 Å, 90.00 90.00 120.00°
Closest atoms and distances in Å follow each position.
Space group R-3 (No. 148, hexagonal axes)
Symmetry-distinct sites (fractional):
1 Tb 0.0000 0.0000 0.0000 (multiplicity 3)  12 Er 3.43-3.58
2 Er 0.0234 0.2527 0.7154 (multiplicity 18)  1 Al 3.07, 2 Er 3.15-3.25, 1 Tb 3.43
3 Al 0.0000 0.0000 0.5000 (multiplicity 3)  6 Er 3.07


No. 7
Material: Tl2PAu
Method: DFT, PBE
State: optimized geometry

Calculated total energy   -3.0729 eV/atom
ΔE_f   0.282 eV per atom
Excess energy over the best structure of this formula in the dataset   317.2 meV per atom

Cell: 6.9235 6.9235 9.9790 Å, 90.00 90.00 90.00°
Closest atoms and distances in Å follow each position.
Space group I-42d (No. 122)
Symmetry-distinct sites (fractional):
1 Tl 0.2308 0.2500 0.1250 (multiplicity 8)  2 P 2.67, 2 Au 2.83
2 P 0.0000 0.0000 0.0000 (multiplicity 4)  4 Tl 2.67
3 Au 0.0000 0.0000 0.5000 (multiplicity 4)  4 Tl 2.83


No. 8
Material: Al2TeSe
Method: DFT, PBE
State: optimized geometry

Calculated total energy   -3.6181 eV/atom
Energy relative to the elements, uncorrected   -9 kJ per mole of atoms
Excess energy over the best structure of this formula in the dataset   259.7 meV per atom

Cell: 5.8111 5.8111 5.5608 Å, 90.00 90.00 90.00°
Closest atoms and distances in Å follow each position.
Space group I4/mmm (No. 139)
Symmetry-distinct sites (fractional):
1 Al 0.0000 0.5000 0.0000 (multiplicity 4)  2 Al 2.78, 2 Se 2.91, 2 Te 2.91
2 Te 0.0000 0.0000 0.0000 (multiplicity 2)  2 Se 2.78, 4 Al 2.91
3 Se 0.0000 0.0000 0.5000 (multiplicity 2)  2 Te 2.78, 4 Al 2.91


No. 9
Material: Cu5PdAu2
Method: DFT, PBE
State: optimized geometry

Calculated total energy   -3.4432 eV/atom
ΔE_f   0.585 eV per atom
Excess energy over the best structure of this formula in the dataset   650.5 meV per atom

Cell: 5.6295 5.6295 4.4754 Å, 90.00 90.00 90.00°
Closest atoms and distances in Å follow each position.
Space group P4/mmm (No. 123)
Symmetry-distinct sites (fractional):
1 Cu 0.0000 0.0000 0.0000 (multiplicity 1)  2 Pd 2.24
2 Cu 0.2969 0.2969 0.5000 (multiplicity 4)  2 Cu 2.29, 1 Pd 2.36
3 Pd 0.0000 0.0000 0.5000 (multiplicity 1)  6 Cu 2.24-2.36
4 Au 0.0000 0.5000 0.0000 (multiplicity 2)  10 Cu 2.81-3.02


No. 10
Material: Ba2Ca2Sb2O
Method: DFT, PBE
State: optimized geometry

Calculated total energy   -4.6513 eV/atom
Energy relative to the elements, uncorrected   -159 kJ per mole of atoms

Cell: 4.9237 4.9237 17.8996 Å, 90.00 90.00 90.00°
Closest atoms and distances in Å follow each position.
Space group I4/mmm (No. 139)
Symmetry-distinct sites (fractional):
1 Ba 0.0000 0.0000 0.1653 (multiplicity 4)  1 O 2.96
2 Ca 0.0000 0.5000 0.0000 (multiplicity 4)  2 O 2.46
3 Sb 0.0000 0.0000 0.3733 (multiplicity 4)  4 Ca 3.35, 5 Ba 3.55-3.72
4 O 0.0000 0.0000 0.0000 (multiplicity 2)  4 Ca 2.46


No. 11
Material: Ba2CuAs
Method: DFT, PBE
State: optimized geometry

Calculated total energy   -3.6489 eV/atom
ΔE_f   -0.501 eV per atom

Cell: 4.2769 4.4945 16.1972 Å, 90.00 90.00 90.00°
Closest atoms and distances in Å follow each position.
Space group Imm2 (No. 44)
Symmetry-distinct sites (fractional):
1 Ba 0.0000 0.0000 0.0000 (multiplicity 2)  2 As 3.38, 4 Cu 3.40
2 Ba 0.0000 0.5000 0.2601 (multiplicity 2)  2 Cu 3.36, 4 As 3.39
3 Cu 0.0000 0.0000 0.4146 (multiplicity 2)  2 As 2.42
4 As 0.0000 0.5000 0.8441 (multiplicity 2)  2 Cu 2.42


No. 12
Material: ScPd2ClO
Method: DFT, PBE
State: optimized geometry

Calculated total energy   -4.2430 eV/atom
Energy relative to the elements, uncorrected   45 kJ per mole of atoms

Cell: 4.9159 4.9159 4.6633 Å, 90.00 90.00 90.00°
Closest atoms and distances in Å follow each position.
Space group P4/mmm (No. 123)
Symmetry-distinct sites (fractional):
1 Sc 0.0000 0.0000 0.0000 (multiplicity 1)  2 Cl 2.33, 4 Pd 2.46
2 Pd 0.0000 0.5000 0.0000 (multiplicity 2)  2 Sc 2.46
3 Cl 0.0000 0.0000 0.5000 (multiplicity 1)  2 Sc 2.33
4 O 0.5000 0.5000 0.5000 (multiplicity 1)  8 Pd 3.39, 4 Cl 3.48


Question: What is the formula in the third record?
Answer: SbPbAu